1.
CsDyTe3Au | PBE | optimized geometry

Lattice parameters (Å, degrees): 9.099 9.099 11.325 90.00 90.00 152.83
Fractional positions:
Au  0.465  0.535  0.750
Au  0.535  0.465  0.250
Cs  0.247  0.753  0.250
Cs  0.753  0.247  0.750
Te  0.069  0.931  0.750
Te  0.931  0.069  0.250
Te  0.378  0.622  0.952
Te  0.622  0.378  0.048
Te  0.378  0.622  0.548
Te  0.622  0.378  0.452
Dy  0.000  0.000  0.000
Dy  0.000  0.000  0.500

* final energy: -3.96 eV/atom
* space-group type: Cmcm


2.
CsErTe3Au | PBE | optimized geometry

Lattice parameters (Å, degrees): 9.093 9.093 11.316 90.00 90.00 152.99
Fractional positions:
Te  0.621  0.379  0.954
Te  0.379  0.621  0.046
Te  0.932  0.068  0.750
Te  0.068  0.932  0.250
Te  0.379  0.621  0.454
Te  0.621  0.379  0.546
Cs  0.754  0.246  0.250
Cs  0.246  0.754  0.750
Au  0.464  0.536  0.250
Au  0.536  0.464  0.750
Er  0.000  0.000  0.500
Er  0.000  0.000  0.000

* final energy: -3.95 eV/atom
* space-group type: Cmcm


3.
CsAu2F7 | PBE | optimized geometry

Lattice parameters (Å, degrees): 7.036 7.547 7.547 94.28 114.48 65.52
Fractional positions:
F  0.248  0.974  0.494
F  0.543  0.411  0.656
F  0.750  0.201  0.201
F  0.043  0.344  0.589
F  0.549  0.092  0.817
F  0.451  0.908  0.183
F  0.250  0.799  0.799
F  0.252  0.494  0.974
F  0.049  0.183  0.908
F  0.752  0.026  0.506
F  0.951  0.817  0.092
F  0.957  0.656  0.411
F  0.748  0.506  0.026
F  0.457  0.589  0.344
Cs  0.250  0.304  0.304
Cs  0.750  0.696  0.696
Au  0.648  0.298  0.919
Au  0.352  0.702  0.081
Au  0.852  0.919  0.298
Au  0.148  0.081  0.702

* final energy: -3.47 eV/atom
* space-group type: C2/c